No. 1
LiSmCdAg PBE optimized geometry; space-group type = F-43m; VASP energy = -11.275 eV/cell; energy of formation from the pure elements = -21.1 kJ per mole of atoms; total magnetization = 0.00 μB/f.u.
1.0
-4.6861 0.1123 -1.6461
-3.7680 -0.5352 3.1933
-2.9172 3.8759 1.0721
Cd Li Ag Sm
1 1 1 1
direct
0.7500 0.7500 0.7500
0.0000 0.0000 0.0000
0.5000 0.5000 0.5000
0.2500 0.2500 0.2500

=====

No. 2
BeIn2Ir2 PBE optimized geometry; space-group type = P4/mbm; VASP energy = -55.424 eV/cell; energy of formation from the pure elements = -15.2 kJ per mole of atoms; total magnetization = 0.00 μB/f.u.
1.0
6.2104 0.0000 0.0000
0.0000 6.2104 0.0000
0.0000 0.0000 4.3287
Ir Be In
4 2 4
direct
0.1521 0.3479 0.0000
0.6521 0.1521 0.0000
0.3479 0.8479 0.0000
0.8479 0.6521 0.0000
0.5000 0.5000 0.0000
0.0000 0.0000 0.0000
0.6655 0.8345 0.5000
0.1655 0.6655 0.5000
0.8345 0.3345 0.5000
0.3345 0.1655 0.5000